TiAg3Pt | PBEsol | relaxed

POSCAR file:
```
TiAg3Pt
1.0
-0.428 -3.486 3.154
4.698 -0.423 0.169
0.158 3.154 3.508
Ag Pt Ti
3 1 1
direct
0.000 0.500 0.000 Ag
0.000 0.000 0.500 Ag
0.500 0.000 0.000 Ag
0.500 0.500 0.500 Pt
0.000 0.000 0.000 Ti
```

Summary:
calculated total energy = -17.6 eV per formula unit
symmetry = No. 221
ΔH_f (0 K) = 1.525 eV per atom